Record 1
# Cr2RhW

A relaxed structure of Cr2RhW (GGA-PBE, Alexandria).

a = 3.164 Å, b = 4.213 Å, c = 8.213 Å
α = 90.00°, β = 90.00°, γ = 90.00°
Space group Immm (No. 71)
Asymmetric unit:
Cr1 0.000 0.000 0.238 x4
Rh1 0.000 0.500 0.000 x2
W1 0.000 0.500 0.500 x2

Results
Energy above the lowest structure with this stoichiometry in meV/atom: 142
DOS(E_F) in states/eV per atom: 1.275
ρ in Mg/m³: 11.85



Record 2
# BaSnPb2I8

A relaxed structure of BaSnPb2I8 (GGA-PBE, Alexandria).

a = 7.481 Å, b = 9.784 Å, c = 7.861 Å
α = 90.00°, β = 90.29°, γ = 90.00°
Space group P2/m (No. 10)
Asymmetric unit:
Ba1 0.000 0.000 0.000 x1
Sn1 0.000 0.500 0.000 x1
Pb1 0.500 0.259 0.500 x2
I1 0.248 0.500 0.661 x2
I2 0.251 0.268 0.157 x4
I3 0.264 0.000 0.639 x2

Results
E_form (uncorrected) in eV/atom: -0.857
DOS(E_F) in states/eV per atom: 0.000
ρ in Mg/m³: 4.87



Record 3
# Nd4HgOsBr2

A relaxed structure of Nd4HgOsBr2 (GGA-PBE, Alexandria).

a = 7.722 Å, b = 4.129 Å, c = 8.369 Å
α = 90.00°, β = 109.96°, γ = 90.00°
Space group P2/m (No. 10)
Asymmetric unit:
Nd1 0.208 0.000 0.294 x2
Nd2 0.232 0.500 0.699 x2
Hg1 0.500 0.500 0.500 x1
Os1 0.000 0.000 0.500 x1
Br1 0.000 0.500 0.000 x1
Br2 0.500 0.000 0.000 x1

Results
E_form (uncorrected) in eV/atom: -0.757
DOS(E_F) in states/eV per atom: 0.563
ρ in Mg/m³: 7.46



Record 4
# CsRuRhO6

A relaxed structure of CsRuRhO6 (GGA-PBE, Alexandria).

a = 5.3315 Å, b = 5.3315 Å, c = 6.5392 Å
α = 90.00°, β = 90.00°, γ = 120.00°
Space group P312 (No. 149)
Asymmetric unit:
Cs1 0.0000 0.0000 0.0000 x1
Ru1 0.6667 0.3333 0.5000 x1
Rh1 0.3333 0.6667 0.5000 x1
O1 0.3983 0.0078 0.3392 x6

Results
E_form (uncorrected) in eV/atom: -0.925
DOS(E_F) in states/eV per atom: 0.541
ρ in Mg/m³: 4.47